Material: Ho3Er2Hg6
Method: DFT, GGA-PBE
State: relaxed

## Properties
- ΔH_f (0 K): -1.07 eV per formula unit
- Density of states at the Fermi level: 0.634 states/eV per atom
- Theoretical density: 10.01 g/cm³
- Size of the total moment: 0.0 μB per formula unit

Geometry as CIF:
```
data_Ho3Er2Hg6
_cell_length_a 5.065
_cell_length_b 5.065
_cell_length_c 26.291
_cell_angle_alpha 90.00
_cell_angle_beta 90.00
_cell_angle_gamma 90.00
_space_group_name_H-M_alt 'I 4/m m m'
_space_group_IT_number 139
_space_group_name_Hall '-I 4 2'
loop_
_atom_site_label
_atom_site_fract_x
_atom_site_fract_y
_atom_site_fract_z
Ho1 0.000 0.000 0.000
Ho2 0.000 0.000 0.139
Er1 0.000 0.000 0.372
Hg1 0.000 0.000 0.256
Hg2 0.000 0.500 0.066
```

Material: Ho2ErHg
Method: DFT, GGA-PBE
State: relaxed

## Properties
- E above lowest polymorph: 71 meV/atom
- ΔH_f (0 K): -0.61 eV per formula unit
- Density of states at the Fermi level: 1.307 states/eV per atom
- Theoretical density: 10.63 g/cm³
- Size of the total moment: 0.4 μB per formula unit

Geometry as CIF:
```
data_Ho2ErHg
_cell_length_a 4.774
_cell_length_b 4.774
_cell_length_c 4.784
_cell_angle_alpha 90.00
_cell_angle_beta 90.00
_cell_angle_gamma 90.00
_space_group_name_H-M_alt 'P 4/m m m'
_space_group_IT_number 123
_space_group_name_Hall '-P 4 2'
loop_
_atom_site_label
_atom_site_fract_x
_atom_site_fract_y
_atom_site_fract_z
Ho1 0.000 0.500 0.000
Er1 0.000 0.000 0.500
Hg1 0.500 0.500 0.500
```

Look up the density of states at the Fermi level of the first one.
0.634 states/eV per atom